(1)
Material: CdAs2Ru
Method: DFT, PBE-GGA
State: optimized geometry

a = 3.0790 Å, b = 3.0790 Å, c = 9.7831 Å
α = 98.47°, β = 98.47°, γ = 60.13°
With the nearest neighbours (Å) after each atom.
Fractional positions:
Cd (0.0000, 0.0000, 0.0000)  2 As 3.01, 6 Cd 3.08
As (0.1079, 0.1079, 0.3124)  3 Ru 2.54
As (0.8921, 0.8921, 0.6876)  3 Ru 2.54
Ru (0.5000, 0.5000, 0.5000)  6 As 2.54

E_form ... -0.1 eV per formula unit
Symmetry ... No. 12

=====

(2)
Material: Dy12Ni6Pd
Method: DFT, PBE-GGA
State: optimized geometry

a = 8.3181 Å, b = 8.3181 Å, c = 8.3181 Å
α = 109.47°, β = 109.47°, γ = 109.47°
With the nearest neighbours (Å) after each atom.
Fractional positions:
Dy (0.1153, 0.3007, 0.8147)  3 Ni 2.64-2.88
Dy (0.1853, 0.4860, 0.3007)  3 Ni 2.64-2.88
Dy (0.1853, 0.8847, 0.6993)  3 Ni 2.64-2.88
Dy (0.3007, 0.1853, 0.4860)  3 Ni 2.64-2.88
Dy (0.3007, 0.8147, 0.1153)  3 Ni 2.64-2.88
Dy (0.4860, 0.3007, 0.1853)  3 Ni 2.64-2.88
Dy (0.5140, 0.6993, 0.8147)  3 Ni 2.64-2.88
Dy (0.6993, 0.1853, 0.8847)  3 Ni 2.64-2.88
Dy (0.6993, 0.8147, 0.5140)  3 Ni 2.64-2.88
Dy (0.8147, 0.1153, 0.3007)  3 Ni 2.64-2.88
Dy (0.8147, 0.5140, 0.6993)  3 Ni 2.64-2.88
Dy (0.8847, 0.6993, 0.1853)  3 Ni 2.64-2.88
Ni (0.1258, 0.5000, 0.6258)  1 Ni 2.42, 2 Dy 2.64
Ni (0.3742, 0.8742, 0.5000)  1 Ni 2.42, 2 Dy 2.64
Ni (0.5000, 0.3742, 0.8742)  1 Ni 2.42, 2 Dy 2.64
Ni (0.5000, 0.6258, 0.1258)  1 Ni 2.42, 2 Dy 2.64
Ni (0.6258, 0.1258, 0.5000)  1 Ni 2.42, 2 Dy 2.64
Ni (0.8742, 0.5000, 0.3742)  1 Ni 2.42, 2 Dy 2.64
Pd (0.0000, 0.0000, 0.0000)  12 Dy 3.39

Energy relative to the lowest polymorph listed for this composition ... 0.000 eV per formula unit
E_form ... -6.9 eV per formula unit
Symmetry ... No. 204

=====

(3)
Material: Ca2AlRe
Method: DFT, PBE-GGA
State: optimized geometry

a = 5.4990 Å, b = 5.4990 Å, c = 2.9539 Å
α = 90.00°, β = 90.00°, γ = 90.00°
With the nearest neighbours (Å) after each atom.
Fractional positions:
Ca (0.0000, 0.5000, 0.0000)  2 Ca 2.95, 4 Re 3.12, 4 Al 3.12
Ca (0.5000, 0.0000, 0.0000)  2 Ca 2.95, 4 Re 3.12, 4 Al 3.12
Al (0.0000, 0.0000, 0.5000)  2 Al 2.95, 8 Ca 3.12
Re (0.5000, 0.5000, 0.5000)  2 Re 2.95, 8 Ca 3.12

E_form ... 2.3 eV per formula unit
Symmetry ... No. 123

=====

(4)
Material: TiCuTeI2
Method: DFT, PBE-GGA
State: optimized geometry

a = 5.5851 Å, b = 5.5851 Å, c = 5.3324 Å
α = 90.00°, β = 90.00°, γ = 90.00°
With the nearest neighbours (Å) after each atom.
Fractional positions:
Ti (0.0000, 0.0000, 0.0000)  2 Te 2.67, 4 I 2.79
Cu (0.5000, 0.5000, 0.5000)  8 I 3.86, 4 Te 3.95
Te (0.0000, 0.0000, 0.5000)  2 Ti 2.67
I (0.0000, 0.5000, 0.0000)  2 Ti 2.79
I (0.5000, 0.0000, 0.0000)  2 Ti 2.79

Energy relative to the lowest polymorph listed for this composition ... 0.000 eV per formula unit
Formation energy without anion corrections ... 1.1 eV/f.u.
Symmetry ... No. 123